No. 1
The following is a PBE-GGA calculation of a geometry-optimized NdHgBi structure, from the Alexandria database.

It has space group I4mm (No. 107), with a = 4.357 Å, b = 4.357 Å, c = 9.621 Å, α = 90.00°, β = 90.00° and γ = 90.00°. The asymmetric unit holds Nd at (0.000, 0.000, 0.000), Hg at (0.000, 0.000, 0.675) and Bi at (0.000, 0.000, 0.348).

The energy relative to the lowest polymorph listed for this composition is 82 meV per atom. The calculated volume is 182.6 Å³ per cell.

***

No. 2
The following is a PBE-GGA calculation of a geometry-optimized NdHg2Bi structure, from the Alexandria database.

It has space group P4/mmm (No. 123), with a = 4.639 Å, b = 4.639 Å, c = 5.101 Å, α = 90.00°, β = 90.00° and γ = 90.00°. The asymmetric unit holds Nd at (0.000, 0.000, 0.000), Hg at (0.000, 0.500, 0.500) and Bi at (0.500, 0.500, 0.000).

The calculated volume is 109.8 Å³ per cell. The total energy comes out at -2.79 eV/atom.

***

No. 3
The following is a PBE-GGA calculation of a geometry-optimized Nd5HgBi2 structure, from the Alexandria database.

It has space group Fmm2 (No. 42), with a = 10.307 Å, b = 10.310 Å, c = 9.158 Å, α = 90.00°, β = 90.00° and γ = 90.00°. The asymmetric unit holds Nd at (0.000, 0.000, 0.000), Nd at (0.000, 0.250, 0.249), Nd at (0.249, 0.000, 0.749), Hg at (0.000, 0.000, 0.498) and Bi at (0.250, 0.250, 0.499).

The calculated volume is 973.2 Å³ per cell. The total energy comes out at -4.49 eV/atom.

***

No. 4
The following is a PBE-GGA calculation of a geometry-optimized Nd2HgBi structure, from the Alexandria database.

It has space group P4/mmm (No. 123), with a = 4.099 Å, b = 4.099 Å, c = 7.088 Å, α = 90.00°, β = 90.00° and γ = 90.00°. The asymmetric unit holds Nd at (0.000, 0.000, 0.250), Hg at (0.500, 0.500, 0.000) and Bi at (0.500, 0.500, 0.500).

The energy relative to the lowest polymorph listed for this composition is 17 meV per atom. The calculated volume is 119.1 Å³ per cell.

***

No. 5
The following is a PBE-GGA calculation of a geometry-optimized NdHgBi2 structure, from the Alexandria database.

It has space group R-3m (No. 166, hexagonal axes), with a = 4.6273 Å, b = 4.6273 Å, c = 27.9229 Å, α = 90.00°, β = 90.00° and γ = 120.00°. The asymmetric unit holds Nd at (0.0000, 0.0000, 0.0000), Hg at (0.0000, 0.0000, 0.5000) and Bi at (0.0000, 0.0000, 0.3990).

The energy relative to the lowest polymorph listed for this composition is 365 meV per atom. The calculated volume is 517.8 Å³ per cell.

***

No. 6
The following is a PBE-GGA calculation of a geometry-optimized NdHgBi structure, from the Alexandria database.

It has space group C2/m (No. 12), with a = 11.792 Å, b = 4.560 Å, c = 7.282 Å, α = 90.00°, β = 110.17° and γ = 90.00°. The asymmetric unit holds Nd at (0.170, 0.000, 0.166), Hg at (0.147, 0.000, 0.597) and Bi at (0.038, 0.500, 0.805).

The energy relative to the lowest polymorph listed for this composition is 46 meV per atom. The calculated volume is 367.5 Å³ per cell.

***

No. 7
The following is a PBE-GGA calculation of a geometry-optimized Nd5HgBi4 structure, from the Alexandria database.

It has space group I4/m (No. 87), with a = 10.260 Å, b = 10.260 Å, c = 6.485 Å, α = 90.00°, β = 90.00° and γ = 90.00°. The asymmetric unit holds Nd at (0.000, 0.000, 0.000), Nd at (0.104, 0.305, 0.500), Hg at (0.000, 0.000, 0.500) and Bi at (0.100, 0.299, 0.000).

The calculated volume is 682.7 Å³ per cell. The total energy comes out at -4.76 eV/atom.

***

No. 8
The following is a PBE-GGA calculation of a geometry-optimized Nd2HgBi structure, from the Alexandria database.

It has space group Cmcm (No. 63), with a = 4.348 Å, b = 24.977 Å, c = 4.768 Å, α = 90.00°, β = 90.00° and γ = 90.00°. The asymmetric unit holds Nd at (0.000, 0.062, 0.250), Nd at (0.000, 0.318, 0.250), Hg at (0.000, 0.457, 0.250) and Bi at (0.000, 0.189, 0.250).

The energy relative to the lowest polymorph listed for this composition is 0 meV per atom. The calculated volume is 517.8 Å³ per cell.

***

No. 9
The following is a PBE-GGA calculation of a geometry-optimized NdHgBi4 structure, from the Alexandria database.

It has space group Immm (No. 71), with a = 5.900 Å, b = 6.661 Å, c = 9.527 Å, α = 90.00°, β = 90.00° and γ = 90.00°. The asymmetric unit holds Nd at (0.000, 0.000, 0.000), Hg at (0.000, 0.500, 0.000) and Bi at (0.000, 0.263, 0.332).

The calculated volume is 374.4 Å³ per cell. The total energy comes out at -3.65 eV/atom.

***

No. 10
The following is a PBE-GGA calculation of a geometry-optimized Nd2HgBi structure, from the Alexandria database.

It has space group R3m (No. 160, hexagonal axes), with a = 4.3706 Å, b = 4.3706 Å, c = 24.3819 Å, α = 90.00°, β = 90.00° and γ = 120.00°. The asymmetric unit holds Nd at (0.0000, 0.0000, 0.0000), Nd at (0.0000, 0.0000, 0.1730), Hg at (0.0000, 0.0000, 0.7542) and Bi at (0.0000, 0.0000, 0.5859).

The energy relative to the lowest polymorph listed for this composition is 110 meV per atom. The calculated volume is 403.4 Å³ per cell.

***

No. 11
The following is a PBE-GGA calculation of a geometry-optimized Nd2HgBiO5 structure, from the Alexandria database.

It has space group P4/mbm (No. 127), with a = 6.930 Å, b = 6.930 Å, c = 6.507 Å, α = 90.00°, β = 90.00° and γ = 90.00°. The asymmetric unit holds Nd at (0.174, 0.326, 0.000), Hg at (0.000, 0.000, 0.500), Bi at (0.000, 0.500, 0.500), O at (0.000, 0.000, 0.000) and O at (0.136, 0.636, 0.218).

The calculated volume is 312.5 Å³ per cell. The formation energy (no corrections) is -1.89 eV per atom.

***

No. 12
The following is a PBE-GGA calculation of a geometry-optimized NdPaHgBi structure, from the Alexandria database.

It has space group F-43m (No. 216), with a = 7.696 Å, b = 7.696 Å, c = 7.696 Å, α = 90.00°, β = 90.00° and γ = 90.00°. The asymmetric unit holds Nd at (0.000, 0.000, 0.000), Pa at (0.000, 0.000, 0.500), Hg at (0.250, 0.250, 0.750) and Bi at (0.250, 0.250, 0.250).

The calculated volume is 455.9 Å³ per cell. The total energy comes out at -4.77 eV/atom.

***

No. 13
The following is a PBE-GGA calculation of a geometry-optimized PmNdHgBi structure, from the Alexandria database.

It has space group F-43m (No. 216), with a = 7.774 Å, b = 7.774 Å, c = 7.774 Å, α = 90.00°, β = 90.00° and γ = 90.00°. The asymmetric unit holds Pm at (0.000, 0.000, 0.000), Nd at (0.000, 0.000, 0.500), Hg at (0.250, 0.250, 0.250) and Bi at (0.250, 0.250, 0.750).

The calculated volume is 469.9 Å³ per cell. The total energy comes out at -4.00 eV/atom.

***

No. 14
The following is a PBE-GGA calculation of a geometry-optimized NdHgBiPt structure, from the Alexandria database.

It has space group F-43m (No. 216), with a = 7.319 Å, b = 7.319 Å, c = 7.319 Å, α = 90.00°, β = 90.00° and γ = 90.00°. The asymmetric unit holds Nd at (0.000, 0.000, 0.000), Hg at (0.250, 0.250, 0.250), Bi at (0.000, 0.000, 0.500) and Pt at (0.250, 0.250, 0.750).

The calculated volume is 392.1 Å³ per cell. The total energy comes out at -4.30 eV/atom.

***

No. 15
The following is a PBE-GGA calculation of a geometry-optimized Nd4HgBiSe2 structure, from the Alexandria database.

It has space group P2/m (No. 10), with a = 7.397 Å, b = 4.332 Å, c = 7.847 Å, α = 90.00°, β = 108.63° and γ = 90.00°. The asymmetric unit holds Nd at (0.242, 0.000, 0.230), Nd at (0.255, 0.500, 0.771), Hg at (0.000, 0.000, 0.500), Bi at (0.500, 0.500, 0.500), Se at (0.000, 0.500, 0.000) and Se at (0.500, 0.000, 0.000).

The calculated volume is 238.3 Å³ per cell. The formation energy (no corrections) is -1.24 eV per atom.

***

No. 16
The following is a PBE-GGA calculation of a geometry-optimized NdSnHgBi structure, from the Alexandria database.

It has space group F-43m (No. 216), with a = 7.758 Å, b = 7.758 Å, c = 7.758 Å, α = 90.00°, β = 90.00° and γ = 90.00°. The asymmetric unit holds Nd at (0.000, 0.000, 0.000), Sn at (0.000, 0.000, 0.500), Hg at (0.250, 0.250, 0.750) and Bi at (0.250, 0.250, 0.250).

The energy relative to the lowest polymorph listed for this composition is 171 meV per atom. The calculated volume is 466.9 Å³ per cell.

***

No. 17
The following is a PBE-GGA calculation of a geometry-optimized NdSnHgBi structure, from the Alexandria database.

It has space group Pmmm (No. 47), with a = 4.643 Å, b = 4.874 Å, c = 4.917 Å, α = 90.00°, β = 90.00° and γ = 90.00°. The asymmetric unit holds Nd at (0.000, 0.000, 0.000), Sn at (0.500, 0.000, 0.500), Hg at (0.000, 0.500, 0.500) and Bi at (0.500, 0.500, 0.000).

The energy relative to the lowest polymorph listed for this composition is 0 meV per atom. The calculated volume is 111.3 Å³ per cell.

***

No. 18
The following is a PBE-GGA calculation of a geometry-optimized SrNdHgBi structure, from the Alexandria database.

It has space group F-43m (No. 216), with a = 7.963 Å, b = 7.963 Å, c = 7.963 Å, α = 90.00°, β = 90.00° and γ = 90.00°. The asymmetric unit holds Sr at (0.000, 0.000, 0.000), Nd at (0.000, 0.000, 0.500), Hg at (0.250, 0.250, 0.750) and Bi at (0.250, 0.250, 0.250).

The calculated volume is 505.0 Å³ per cell. The total energy comes out at -3.23 eV/atom.

***

No. 19
The following is a PBE-GGA calculation of a geometry-optimized TbNdHgBi structure, from the Alexandria database.

It has space group F-43m (No. 216), with a = 7.710 Å, b = 7.710 Å, c = 7.710 Å, α = 90.00°, β = 90.00° and γ = 90.00°. The asymmetric unit holds Tb at (0.000, 0.000, 0.000), Nd at (0.000, 0.000, 0.500), Hg at (0.250, 0.250, 0.250) and Bi at (0.250, 0.250, 0.750).

The calculated volume is 458.3 Å³ per cell. The total energy comes out at -3.94 eV/atom.

***

No. 20
The following is a PBE-GGA calculation of a geometry-optimized NdThHgBi structure, from the Alexandria database.

It has space group F-43m (No. 216), with a = 7.801 Å, b = 7.801 Å, c = 7.801 Å, α = 90.00°, β = 90.00° and γ = 90.00°. The asymmetric unit holds Nd at (0.000, 0.000, 0.000), Th at (0.000, 0.000, 0.500), Hg at (0.250, 0.250, 0.250) and Bi at (0.250, 0.250, 0.750).

The calculated volume is 474.7 Å³ per cell. The total energy comes out at -4.50 eV/atom.